Entry from the Alexandria database: a geometry-optimized TaMn2Br structure (PBE-GGA).

POSCAR file:
```
TaMn2Br
1.0
3.1652 0.0000 0.0000
0.0000 3.0779 0.0000
-0.0120 0.0000 7.5087
Ta Mn Br
1 2 1
direct
0.0000 0.0000 0.0000 Ta
0.4992 0.5000 0.8291 Mn
0.9980 0.0000 0.6230 Mn
0.0030 0.5000 0.2996 Br
```

Output
As for the final energy: -7.734 eV per atom. For the offset from the most stable computed form, the calculation gives 22 meV per atom.

=====

Entry from the Alexandria database: a geometry-optimized LaNd2 structure (PBE-GGA).

POSCAR file:
```
LaNd2
1.0
0.0000 4.7930 4.7930
4.7930 0.0000 4.7930
4.7930 4.7930 0.0000
La Nd
2 4
direct
0.1250 0.1250 0.1250 La
0.8750 0.8750 0.8750 La
0.0000 0.5000 0.5000 Nd
0.5000 0.0000 0.5000 Nd
0.5000 0.5000 0.0000 Nd
0.5000 0.5000 0.5000 Nd
```

Output
As for the final energy: -4.598 eV per atom. Its formation energy is 223 meV/atom. For the offset from the most stable computed form, the calculation gives 207 meV per atom.

=====

Entry from the Alexandria database: a geometry-optimized Cs2BaCo structure (PBE-GGA).

POSCAR file:
```
Cs2BaCo
1.0
0.0000 4.6836 4.6836
4.6836 0.0000 4.6836
4.6836 4.6836 0.0000
Cs Ba Co
2 1 1
direct
0.2500 0.2500 0.2500 Cs
0.7500 0.7500 0.7500 Cs
0.0000 0.0000 0.0000 Ba
0.5000 0.5000 0.5000 Co
```

Output
As for the final energy: -1.665 eV per atom. Its formation energy is 1019 meV/atom.

=====

Entry from the Alexandria database: a geometry-optimized Co3SiMo structure (PBE-GGA).

POSCAR file:
```
Co3SiMo
1.0
7.3986 0.0000 0.0000
0.0000 3.4050 0.0000
0.0000 0.0000 9.5363
Co Si Mo
12 4 4
direct
0.0703 0.2500 0.0940 Co
0.0988 0.7500 0.2874 Co
0.1448 0.7500 0.7033 Co
0.3552 0.2500 0.2033 Co
0.4012 0.2500 0.7874 Co
0.4297 0.7500 0.5940 Co
0.5703 0.2500 0.4060 Co
0.5988 0.7500 0.2126 Co
0.6448 0.7500 0.7967 Co
0.8552 0.2500 0.2967 Co
0.9012 0.2500 0.7126 Co
0.9297 0.7500 0.9060 Co
0.1268 0.2500 0.8687 Si
0.3732 0.7500 0.3687 Si
0.6268 0.2500 0.6313 Si
0.8732 0.7500 0.1313 Si
0.1521 0.2500 0.4996 Mo
0.3479 0.7500 0.9996 Mo
0.6521 0.2500 0.0004 Mo
0.8479 0.7500 0.5004 Mo
```

Output
As for the final energy: -7.629 eV per atom. For the offset from the most stable computed form, the calculation gives 0 meV per atom.

=====

Repeat the first record exactly.
Entry from the Alexandria database: a geometry-optimized TaMn2Br structure (PBE-GGA).

POSCAR file:
```
TaMn2Br
1.0
3.1652 0.0000 0.0000
0.0000 3.0779 0.0000
-0.0120 0.0000 7.5087
Ta Mn Br
1 2 1
direct
0.0000 0.0000 0.0000 Ta
0.4992 0.5000 0.8291 Mn
0.9980 0.0000 0.6230 Mn
0.0030 0.5000 0.2996 Br
```

Output
As for the final energy: -7.734 eV per atom. For the offset from the most stable computed form, the calculation gives 22 meV per atom.